# PBE Pr2NdTm3Sb6, relaxed
# E_form (uncorrected) in eV per atom: -1.123
# Size of the total moment in μB per formula unit: 0.00
# Mass density in g/cm³: 7.43
data_Pr2NdTm3Sb6
_chemical_formula_sum 'Pr4 Nd2 Tm6 Sb12'
_cell_length_a 19.3478
_cell_length_b 4.4464
_cell_length_c 8.8773
_cell_angle_alpha 90.00
_cell_angle_beta 103.05
_cell_angle_gamma 90.00
_space_group_name_H-M_alt 'C 1 2/m 1'
_space_group_IT_number 12
loop_
_space_group_symop_operation_xyz
'x,y,z'
'-x,-y,-z'
'-x,y,-z'
'x,-y,z'
'x+1/2,y+1/2,z'
'-x+1/2,-y+1/2,-z'
'-x+1/2,y+1/2,-z'
'x+1/2,-y+1/2,z'
loop_
_atom_site_label
_atom_site_type_symbol
_atom_site_fract_x
_atom_site_fract_y
_atom_site_fract_z
Pr1 Pr 0.1665 0.0000 0.3329
Nd1 Nd 0.0000 0.5000 0.0000
Tm1 Tm 0.0000 0.5000 0.5000
Tm2 Tm 0.1669 0.0000 0.8332
Sb1 Sb 0.0034 0.0000 0.7434
Sb2 Sb 0.1635 0.5000 0.5912
Sb3 Sb 0.1693 0.5000 0.0747

# PBE CsRb2HgI6, relaxed
# E_form (uncorrected) in eV per atom: -0.799
# Size of the total moment in μB per formula unit: 0.00
# Mass density in g/cm³: 3.77
data_CsRb2HgI6
_chemical_formula_sum 'Cs2 Rb4 Hg2 I12'
_cell_length_a 9.2398
_cell_length_b 9.2398
_cell_length_c 13.0468
_cell_angle_alpha 90.00
_cell_angle_beta 90.00
_cell_angle_gamma 90.00
_space_group_name_H-M_alt 'I 4/m m m'
_space_group_IT_number 139
_space_group_name_Hall '-I 4 2'
loop_
_atom_site_label
_atom_site_type_symbol
_atom_site_fract_x
_atom_site_fract_y
_atom_site_fract_z
Cs1 Cs 0.0000 0.0000 0.0000
Rb1 Rb 0.0000 0.5000 0.2500
Hg1 Hg 0.0000 0.0000 0.5000
I1 I 0.0000 0.0000 0.2723
I2 I 0.2281 0.2281 0.5000

# PBE Li2NdAgAu2, relaxed
# Size of the total moment in μB per formula unit: 0.00
# Formation energy from the elements in kcal/mol of atoms: -12.2
# Mass density in g/cm³: 9.23
data_Li2NdAgAu2
_chemical_formula_sum 'Li2 Nd1 Ag1 Au2'
_cell_length_a 4.5195
_cell_length_b 4.5195
_cell_length_c 6.7143
_cell_angle_alpha 90.00
_cell_angle_beta 90.00
_cell_angle_gamma 120.00
_space_group_name_H-M_alt 'P -3 m 1'
_space_group_IT_number 164
_space_group_name_Hall '-P 3 2"'
loop_
_atom_site_label
_atom_site_type_symbol
_atom_site_fract_x
_atom_site_fract_y
_atom_site_fract_z
Li1 Li 0.3333 0.6667 0.1517
Nd1 Nd 0.0000 0.0000 0.5000
Ag1 Ag 0.0000 0.0000 0.0000
Au1 Au 0.3333 0.6667 0.7561